Entry 1:
The following is a DFT calculation (PBE) of a relaxed Pm2Dy3Y5 crystal.

Lattice parameters (Å, degrees): 9.353 9.362 11.150 124.38 124.36 69.79
Element x y z (fractional)
Y: 0.874 0.621 0.761
Dy: 0.727 0.468 0.244
Pm: 0.474 0.732 0.751
Y: 0.723 0.473 0.946
Y: 0.979 0.229 0.459
Dy: 0.273 0.532 0.756
Dy: 0.017 0.776 0.244
Pm: 0.223 0.981 0.249
Y: 0.387 0.140 0.761
Dy: 0.225 0.975 0.950
Y: 0.021 0.771 0.541
Pm: 0.526 0.268 0.249
Dy: 0.983 0.224 0.756
Y: 0.524 0.274 0.548
Pm: 0.777 0.019 0.751
Y: 0.277 0.527 0.054
Y: 0.126 0.379 0.239
Y: 0.476 0.726 0.452
Y: 0.613 0.860 0.239
Dy: 0.775 0.025 0.050

Computed properties:
The calculation puts the energy above the most stable polymorph in this dataset at 0 meV per atom. As for the calculated formation energy: 0.1859 eV/atom. Its space group is C2/c, No. 15. The calculation puts the total magnetization at 0.0 μB per cell.

Entry 2:
The following is a DFT calculation (PBE) of a relaxed Pm6DyY4 crystal.

Lattice parameters (Å, degrees): 6.731 6.731 9.714 110.27 110.27 90.00
Element x y z (fractional)
Pm: 0.486 0.864 0.350
Pm: 0.000 0.500 0.000
Y: 0.302 0.302 0.248
Pm: 0.864 0.486 0.350
Pm: 0.136 0.136 0.650
Dy: 0.500 0.500 0.000
Y: 0.054 0.698 0.752
Pm: 0.514 0.514 0.650
Y: 0.698 0.054 0.752
Pm: 0.500 0.000 0.000
Y: 0.946 0.946 0.248

Computed properties:
The calculation puts the energy above the most stable polymorph in this dataset at 196 meV per atom. As for the calculated formation energy: 0.3114 eV/atom. Its space group is I-42m, No. 121. The calculation puts the total magnetization at 0.0 μB per cell.

Entry 3:
The following is a DFT calculation (PBE) of a relaxed Pm6Dy5Y2 crystal.

Lattice parameters (Å, degrees): 3.619 11.740 20.523 90.00 90.00 90.00
Element x y z (fractional)
Pm: 0.000 0.419 0.867
Dy: 0.500 0.593 0.275
Dy: 0.500 0.000 0.500
Dy: 0.500 0.093 0.225
Y: 0.000 0.834 0.211
Pm: 0.000 0.081 0.367
Pm: 0.000 0.919 0.633
Y: 0.000 0.334 0.289
Pm: 0.500 0.174 0.633
Dy: 0.500 0.407 0.725
Pm: 0.000 0.441 0.580
Dy: 0.500 0.199 0.945
Pm: 0.500 0.326 0.133
Dy: 0.500 0.801 0.055
Pm: 0.500 0.674 0.867
Pm: 0.000 0.581 0.133
Dy: 0.500 0.500 0.000
Y: 0.000 0.166 0.789
Pm: 0.500 0.826 0.367
Dy: 0.500 0.699 0.555
Pm: 0.000 0.941 0.920
Pm: 0.000 0.559 0.420
Dy: 0.500 0.907 0.775
Dy: 0.500 0.301 0.445
Y: 0.000 0.666 0.711
Pm: 0.000 0.059 0.080

Computed properties:
As for the calculated formation energy: 0.0978 eV/atom. Its space group is Pbam, No. 55. The calculation puts the total magnetization at 0.0 μB per cell.

Entry 4:
The following is a DFT calculation (PBE) of a relaxed Pm3Dy2Y4 crystal.

Lattice parameters (Å, degrees): 6.112 11.336 11.336 61.93 63.12 63.12
Element x y z (fractional)
Y: 0.420 0.911 0.185
Pm: 0.749 0.064 0.269
Y: 0.576 0.420 0.153
Y: 0.924 0.847 0.580
Pm: 0.751 0.731 0.936
Dy: 0.416 0.244 0.521
Y: 0.080 0.815 0.089
Pm: 0.250 0.599 0.401
Pm: 0.251 0.936 0.731
Pm: 0.249 0.269 0.064
Dy: 0.084 0.479 0.756
Y: 0.076 0.153 0.420
Dy: 0.916 0.521 0.244
Y: 0.920 0.185 0.911
Dy: 0.584 0.756 0.479
Y: 0.424 0.580 0.847
Y: 0.580 0.089 0.815
Pm: 0.750 0.401 0.599

Computed properties:
The calculation puts the energy above the most stable polymorph in this dataset at 81 meV per atom. As for the calculated formation energy: 0.0979 eV/atom. Its space group is C2/c, No. 15. The calculation puts the total magnetization at 0.0 μB per cell.

Entry 5:
The following is a DFT calculation (PBE) of a relaxed Pm3Dy3Y8 crystal.

Lattice parameters (Å, degrees): 5.685 9.710 9.710 101.92 72.98 72.98
Element x y z (fractional)
Pm: 0.500 0.000 0.000
Y: 0.659 0.561 0.120
Y: 0.158 0.239 0.445
Y: 0.341 0.880 0.439
Pm: 0.000 0.181 0.819
Y: 0.659 0.120 0.561
Dy: 0.203 0.797 0.797
Dy: 0.797 0.203 0.203
Pm: 0.000 0.819 0.181
Y: 0.341 0.439 0.880
Dy: 0.500 0.500 0.500
Y: 0.842 0.761 0.555
Y: 0.158 0.445 0.239
Y: 0.842 0.555 0.761

Computed properties:
The calculation puts the energy above the most stable polymorph in this dataset at 0 meV per atom. As for the calculated formation energy: 0.1144 eV/atom. Its space group is Immm, No. 71. The calculation puts the total magnetization at 0.0 μB per cell.

Entry 6:
The following is a DFT calculation (PBE) of a relaxed Pm5Dy3Y3 crystal.

Lattice parameters (Å, degrees): 5.602 9.731 9.731 120.00 90.00 90.00
Element x y z (fractional)
Y: 0.000 0.000 0.539
Dy: 0.500 0.364 0.000
Pm: 0.500 0.667 0.333
Y: 0.000 0.461 0.461
Pm: 0.500 0.333 0.667
Pm: 0.500 0.273 0.273
Pm: 0.500 0.000 0.727
Dy: 0.500 0.636 0.636
Dy: 0.500 0.000 0.364
Pm: 0.500 0.727 0.000
Y: 0.000 0.539 0.000

Computed properties:
As for the calculated formation energy: 0.7882 eV/atom. Its space group is P-62m, No. 189. The calculation puts the total magnetization at 0.0 μB per cell.